Arrangement w

CoBi3 | PBE-GGA | optimized geometry

Cell lengths 8.879, 4.097, 11.662 Å; angles 90.00, 90.00, 90.00 degrees
Positions (direct):
Co 0.091 0.250 0.021
Co 0.409 0.750 0.521
Co 0.591 0.250 0.479
Co 0.909 0.750 0.979
Bi 0.089 0.750 0.174
Bi 0.119 0.750 0.592
Bi 0.200 0.750 0.895
Bi 0.300 0.250 0.395
Bi 0.381 0.250 0.092
Bi 0.411 0.250 0.674
Bi 0.589 0.750 0.326
Bi 0.619 0.750 0.908
Bi 0.700 0.750 0.605
Bi 0.800 0.250 0.105
Bi 0.881 0.250 0.408
Bi 0.911 0.250 0.826

Computed properties:
Total moment in μB/f.u.: 0.004
Calculated density in Mg/m³: 10.74



Arrangement x

CoBi3 | PBE-GGA | optimized geometry

Cell lengths 7.501, 7.501, 7.501 Å; angles 90.00, 90.00, 90.00 degrees
Positions (direct):
Co 0.000 0.000 0.000
Co 0.000 0.500 0.500
Co 0.500 0.000 0.500
Co 0.500 0.500 0.000
Bi 0.000 0.000 0.500
Bi 0.000 0.500 0.000
Bi 0.250 0.250 0.250
Bi 0.250 0.250 0.750
Bi 0.250 0.750 0.250
Bi 0.250 0.750 0.750
Bi 0.500 0.000 0.000
Bi 0.500 0.500 0.500
Bi 0.750 0.250 0.250
Bi 0.750 0.250 0.750
Bi 0.750 0.750 0.250
Bi 0.750 0.750 0.750

Computed properties:
Total moment in μB/f.u.: 0.000
Calculated density in Mg/m³: 10.79



Arrangement y

CoBi3 | PBE-GGA | optimized geometry

Cell lengths 4.744, 4.744, 9.408 Å; angles 90.00, 90.00, 90.00 degrees
Positions (direct):
Co 0.000 0.000 0.000
Co 0.500 0.500 0.500
Bi 0.000 0.000 0.500
Bi 0.000 0.500 0.250
Bi 0.000 0.500 0.750
Bi 0.500 0.000 0.250
Bi 0.500 0.000 0.750
Bi 0.500 0.500 0.000

Computed properties:
Total moment in μB/f.u.: 1.558
Calculated density in Mg/m³: 10.76



So which one wins? Going from most stable to least: arrangement w, arrangement y, arrangement x.



Arrangement w

GaCoCuBi | PBE-GGA | optimized geometry

Cell lengths 6.421, 6.421, 6.421 Å; angles 90.00, 90.00, 90.00 degrees
Positions (direct):
Ga 0.000 0.000 0.000
Ga 0.000 0.500 0.500
Ga 0.500 0.000 0.500
Ga 0.500 0.500 0.000
Co 0.250 0.250 0.750
Co 0.250 0.750 0.250
Co 0.750 0.250 0.250
Co 0.750 0.750 0.750
Cu 0.250 0.250 0.250
Cu 0.250 0.750 0.750
Cu 0.750 0.250 0.750
Cu 0.750 0.750 0.250
Bi 0.000 0.000 0.500
Bi 0.000 0.500 0.000
Bi 0.500 0.000 0.000
Bi 0.500 0.500 0.500

Computed properties:
Total moment in μB/f.u.: 0.060
Calculated density in Mg/m³: 10.07



Arrangement x

GaCoCuBi | PBE-GGA | optimized geometry

Cell lengths 6.509, 6.509, 6.509 Å; angles 90.00, 90.00, 90.00 degrees
Positions (direct):
Ga 0.000 0.000 0.000
Ga 0.000 0.500 0.500
Ga 0.500 0.000 0.500
Ga 0.500 0.500 0.000
Co 0.250 0.250 0.750
Co 0.250 0.750 0.250
Co 0.750 0.250 0.250
Co 0.750 0.750 0.750
Cu 0.000 0.000 0.500
Cu 0.000 0.500 0.000
Cu 0.500 0.000 0.000
Cu 0.500 0.500 0.500
Bi 0.250 0.250 0.250
Bi 0.250 0.750 0.750
Bi 0.750 0.250 0.750
Bi 0.750 0.750 0.250

Computed properties:
Total moment in μB/f.u.: 0.136
Calculated density in Mg/m³: 9.66



So which one wins? Going from most stable to least: arrangement w, arrangement x.



Arrangement w

LaCoCuBi | PBE-GGA | optimized geometry

Cell lengths 7.060, 7.060, 7.060 Å; angles 90.00, 90.00, 90.00 degrees
Positions (direct):
La 0.000 0.000 0.000
La 0.000 0.500 0.500
La 0.500 0.000 0.500
La 0.500 0.500 0.000
Co 0.000 0.000 0.500
Co 0.000 0.500 0.000
Co 0.500 0.000 0.000
Co 0.500 0.500 0.500
Cu 0.250 0.250 0.750
Cu 0.250 0.750 0.250
Cu 0.750 0.250 0.250
Cu 0.750 0.750 0.750
Bi 0.250 0.250 0.250
Bi 0.250 0.750 0.750
Bi 0.750 0.250 0.750
Bi 0.750 0.750 0.250

Computed properties:
Total moment in μB/f.u.: 1.310
Calculated density in Mg/m³: 8.88



Arrangement x

LaCoCuBi | PBE-GGA | optimized geometry

Cell lengths 6.874, 6.874, 6.874 Å; angles 90.00, 90.00, 90.00 degrees
Positions (direct):
La 0.000 0.000 0.000
La 0.000 0.500 0.500
La 0.500 0.000 0.500
La 0.500 0.500 0.000
Co 0.250 0.250 0.250
Co 0.250 0.750 0.750
Co 0.750 0.250 0.750
Co 0.750 0.750 0.250
Cu 0.250 0.250 0.750
Cu 0.250 0.750 0.250
Cu 0.750 0.250 0.250
Cu 0.750 0.750 0.750
Bi 0.000 0.000 0.500
Bi 0.000 0.500 0.000
Bi 0.500 0.000 0.000
Bi 0.500 0.500 0.500

Computed properties:
Total moment in μB/f.u.: 0.475
Calculated density in Mg/m³: 9.62



Arrangement y

LaCoCuBi | PBE-GGA | optimized geometry

Cell lengths 7.158, 7.158, 7.158 Å; angles 90.00, 90.00, 90.00 degrees
Positions (direct):
La 0.000 0.000 0.000
La 0.000 0.500 0.500
La 0.500 0.000 0.500
La 0.500 0.500 0.000
Co 0.250 0.250 0.250
Co 0.250 0.750 0.750
Co 0.750 0.250 0.750
Co 0.750 0.750 0.250
Cu 0.000 0.000 0.500
Cu 0.000 0.500 0.000
Cu 0.500 0.000 0.000
Cu 0.500 0.500 0.500
Bi 0.250 0.250 0.750
Bi 0.250 0.750 0.250
Bi 0.750 0.250 0.250
Bi 0.750 0.750 0.750

Computed properties:
Total moment in μB/f.u.: 1.512
Calculated density in Mg/m³: 8.52



So which one wins? Going from most stable to least: arrangement x, arrangement w, arrangement y.



Arrangement w

LiCoCuBi | PBE-GGA | optimized geometry

Cell lengths 6.232, 6.232, 6.232 Å; angles 90.00, 90.00, 90.00 degrees
Positions (direct):
Li 0.000 0.000 0.000
Li 0.000 0.500 0.500
Li 0.500 0.000 0.500
Li 0.500 0.500 0.000
Co 0.250 0.250 0.750
Co 0.250 0.750 0.250
Co 0.750 0.250 0.250
Co 0.750 0.750 0.750
Cu 0.000 0.000 0.500
Cu 0.000 0.500 0.000
Cu 0.500 0.000 0.000
Cu 0.500 0.500 0.500
Bi 0.250 0.250 0.250
Bi 0.250 0.750 0.750
Bi 0.750 0.250 0.750
Bi 0.750 0.750 0.250

Computed properties:
Total moment in μB/f.u.: 1.420
Calculated density in Mg/m³: 9.29



Arrangement x

LiCoCuBi | PBE-GGA | optimized geometry

Cell lengths 6.162, 6.162, 6.162 Å; angles 90.00, 90.00, 90.00 degrees
Positions (direct):
Li 0.000 0.000 0.000
Li 0.000 0.500 0.500
Li 0.500 0.000 0.500
Li 0.500 0.500 0.000
Co 0.000 0.000 0.500
Co 0.000 0.500 0.000
Co 0.500 0.000 0.000
Co 0.500 0.500 0.500
Cu 0.250 0.250 0.750
Cu 0.250 0.750 0.250
Cu 0.750 0.250 0.250
Cu 0.750 0.750 0.750
Bi 0.250 0.250 0.250
Bi 0.250 0.750 0.750
Bi 0.750 0.250 0.750
Bi 0.750 0.750 0.250

Computed properties:
Total moment in μB/f.u.: 0.010
Calculated density in Mg/m³: 9.61



So which one wins? Going from most stable to least: arrangement x, arrangement w.



Arrangement w

CoCuBiMo | PBE-GGA | optimized geometry

Cell lengths 6.357, 6.357, 6.357 Å; angles 90.00, 90.00, 90.00 degrees
Positions (direct):
Co 0.000 0.000 0.000
Co 0.000 0.500 0.500
Co 0.500 0.000 0.500
Co 0.500 0.500 0.000
Cu 0.000 0.000 0.500
Cu 0.000 0.500 0.000
Cu 0.500 0.000 0.000
Cu 0.500 0.500 0.500
Bi 0.250 0.250 0.750
Bi 0.250 0.750 0.250
Bi 0.750 0.250 0.250
Bi 0.750 0.750 0.750
Mo 0.250 0.250 0.250
Mo 0.250 0.750 0.750
Mo 0.750 0.250 0.750
Mo 0.750 0.750 0.250

Computed properties:
Total moment in μB/f.u.: 2.852
Calculated density in Mg/m³: 11.05



Arrangement x

CoCuBiMo | PBE-GGA | optimized geometry

Cell lengths 6.377, 6.377, 6.377 Å; angles 90.00, 90.00, 90.00 degrees
Positions (direct):
Co 0.000 0.000 0.000
Co 0.000 0.500 0.500
Co 0.500 0.000 0.500
Co 0.500 0.500 0.000
Cu 0.250 0.250 0.250
Cu 0.250 0.750 0.750
Cu 0.750 0.250 0.750
Cu 0.750 0.750 0.250
Bi 0.000 0.000 0.500
Bi 0.000 0.500 0.000
Bi 0.500 0.000 0.000
Bi 0.500 0.500 0.500
Mo 0.250 0.250 0.750
Mo 0.250 0.750 0.250
Mo 0.750 0.250 0.250
Mo 0.750 0.750 0.750

Computed properties:
Total moment in μB/f.u.: 1.818
Calculated density in Mg/m³: 10.95



So which one wins? Going from most stable to least: arrangement w, arrangement x.



Arrangement w

NbCoCuBi | PBE-GGA | optimized geometry

Cell lengths 6.464, 6.464, 6.464 Å; angles 90.00, 90.00, 90.00 degrees
Positions (direct):
Nb 0.000 0.000 0.000
Nb 0.000 0.500 0.500
Nb 0.500 0.000 0.500
Nb 0.500 0.500 0.000
Co 0.250 0.250 0.750
Co 0.250 0.750 0.250
Co 0.750 0.250 0.250
Co 0.750 0.750 0.750
Cu 0.000 0.000 0.500
Cu 0.000 0.500 0.000
Cu 0.500 0.000 0.000
Cu 0.500 0.500 0.500
Bi 0.250 0.250 0.250
Bi 0.250 0.750 0.750
Bi 0.750 0.250 0.750
Bi 0.750 0.750 0.250

Computed properties:
Total moment in μB/f.u.: 0.346
Calculated density in Mg/m³: 10.44



Arrangement x

NbCoCuBi | PBE-GGA | optimized geometry

Cell lengths 6.410, 6.410, 6.410 Å; angles 90.00, 90.00, 90.00 degrees
Positions (direct):
Nb 0.000 0.000 0.000
Nb 0.000 0.500 0.500
Nb 0.500 0.000 0.500
Nb 0.500 0.500 0.000
Co 0.250 0.250 0.250
Co 0.250 0.750 0.750
Co 0.750 0.250 0.750
Co 0.750 0.750 0.250
Cu 0.250 0.250 0.750
Cu 0.250 0.750 0.250
Cu 0.750 0.250 0.250
Cu 0.750 0.750 0.750
Bi 0.000 0.000 0.500
Bi 0.000 0.500 0.000
Bi 0.500 0.000 0.000
Bi 0.500 0.500 0.500

Computed properties:
Total moment in μB/f.u.: 0.007
Calculated density in Mg/m³: 10.70



So which one wins? Going from most stable to least: arrangement x, arrangement w.